Entry 1:
The following is a DFT calculation (GGA-PBE) of CuBiSbI2 after structural relaxation.

a = 5.2919 Å, b = 5.2919 Å, c = 5.3326 Å
α = 90.00°, β = 90.00°, γ = 90.00°
Last column: nearest neighbours and their distance in Å.
Space group P4/mmm (No. 123)
Symmetry-distinct sites (fractional):
Cu (0.0000, 0.0000, 0.0000) [1 per cell]  4 I 2.65, 2 Sb 2.67
Bi (0.5000, 0.5000, 0.5000) [1 per cell]  4 Sb 3.74, 8 I 3.76
Sb (0.0000, 0.0000, 0.5000) [1 per cell]  2 Cu 2.67
I (0.0000, 0.5000, 0.0000) [2 per cell]  2 Cu 2.65

Results
- E (eV for the cell shown) = -13.56
- formation energy (no corrections) (eV per atom) = 0.327
- energy above the lowest structure with this stoichiometry (meV per atom) = 0.0

Entry 2:
The following is a DFT calculation (GGA-PBE) of LaRe2P after structural relaxation.

a = 2.9212 Å, b = 4.9531 Å, c = 9.8227 Å
α = 90.00°, β = 90.00°, γ = 90.00°
Last column: nearest neighbours and their distance in Å.
Space group Immm (No. 71)
Symmetry-distinct sites (fractional):
La (0.0000, 0.0000, 0.0000) [2 per cell]  4 P 2.88, 2 La 2.92, 4 Re 3.21
Re (0.0000, 0.5000, 0.2074) [4 per cell]  2 P 2.51
P (0.0000, 0.0000, 0.5000) [2 per cell]  4 Re 2.51

Results
- energy relative to the elements (eV per atom) = 0.256
- E (eV for the cell shown) = -68.42

Entry 3:
The following is a DFT calculation (GGA-PBE) of LaYMg2 after structural relaxation.

a = 12.4085 Å, b = 3.7823 Å, c = 5.5446 Å
α = 90.00°, β = 116.46°, γ = 90.00°
Last column: nearest neighbours and their distance in Å.
Space group Cm (No. 8)
Symmetry-distinct sites (fractional):
La (0.0000, 0.0000, 0.0000) [2 per cell]  6 Mg 3.37-3.50, 2 Y 3.53
Y (0.2313, 0.0000, 0.7321) [2 per cell]  6 Mg 3.38-3.42, 3 La 3.53-3.77
Mg (0.2655, 0.5000, 0.2659) [2 per cell]  2 Mg 3.00
Mg (0.4747, 0.0000, 0.4748) [2 per cell]  2 Mg 3.00

Results
- energy relative to the elements (eV per atom) = -0.052
- E (eV for the cell shown) = -29.58

Across the entries above, magnetization takes the values 0.00; 0.00; 0.00 μB/atom, respectively.